(1)
Entry from Alexandria: a relaxed NbCdIn3 crystal (GGA-PBE).

Unit cell a=5.4798 b=5.4798 c=5.4798 alpha=90.00 beta=90.00 gamma=90.00
Last column: nearest neighbours and their distance in Å.
Positions (direct):
Cd  0.5000  0.5000  0.5000  12 In 3.87
In  0.0000  0.0000  0.5000  2 Nb 2.74
In  0.0000  0.5000  0.0000  2 Nb 2.74
Nb  0.0000  0.0000  0.0000  6 In 2.74
In  0.5000  0.0000  0.0000  2 Nb 2.74

Total moment in μB per formula unit: 1.2
SG: No. 221
Energy of formation from the pure elements in eV per atom: 0.629

(2)
Entry from Alexandria: a relaxed Nb3CdIn crystal (GGA-PBE).

Unit cell a=4.9978 b=4.9978 c=4.9978 alpha=90.00 beta=90.00 gamma=90.00
Last column: nearest neighbours and their distance in Å.
Positions (direct):
Nb  0.0000  0.0000  0.5000  2 Cd 2.50
Nb  0.0000  0.5000  0.0000  2 Cd 2.50
Nb  0.5000  0.0000  0.0000  2 Cd 2.50
In  0.5000  0.5000  0.5000  12 Nb 3.53
Cd  0.0000  0.0000  0.0000  6 Nb 2.50

Total moment in μB per formula unit: 0.0
SG: No. 221
Energy of formation from the pure elements in eV per atom: 1.645